A plane-wave DFT calculation with GGA-PBE was carried out for a relaxed Sr2TlPb crystal.

a = 5.895 Å, b = 5.895 Å, c = 5.895 Å
α = 60.00°, β = 60.00°, γ = 60.00°
Atoms (fractional coordinates):
Pb: 0.500 0.500 0.500
Sr: 0.000 0.000 0.000
Sr: 0.250 0.250 0.250
Tl: 0.750 0.750 0.750

ΔE_f ... -0.20 eV/atom
VASP energy ... -10.24 eV/cell
N(E_F) ... 1.95 states/eV per cell

***

A plane-wave DFT calculation with GGA-PBE was carried out for a relaxed ZrTiGa3 crystal.

a = 4.743 Å, b = 4.743 Å, c = 4.743 Å
α = 90.00°, β = 90.00°, γ = 90.00°
Atoms (fractional coordinates):
Ga: 0.000 0.500 0.000
Ga: 0.000 0.000 0.500
Ga: 0.500 0.000 0.000
Zr: 0.500 0.500 0.500
Ti: 0.000 0.000 0.000

ΔE_f ... 0.33 eV/atom
VASP energy ... -23.86 eV/cell
Offset from the most stable computed form ... 2.82 eV/f.u.
N(E_F) ... 3.41 states/eV per cell

***

A plane-wave DFT calculation with GGA-PBE was carried out for a relaxed SbPbW2 crystal.

a = 3.069 Å, b = 3.069 Å, c = 9.206 Å
α = 90.00°, β = 90.00°, γ = 112.15°
Atoms (fractional coordinates):
Pb: 0.500 0.500 0.250
Sb: 0.500 0.500 0.750
W: 0.000 0.000 0.985
W: 0.000 0.000 0.515

VASP energy ... -29.22 eV/cell
Offset from the most stable computed form ... 3.01 eV/f.u.
N(E_F) ... 2.77 states/eV per cell
Raw formation energy ... 1129 meV/atom

***

A plane-wave DFT calculation with GGA-PBE was carried out for a relaxed HoTmCoRu crystal.

a = 4.721 Å, b = 4.721 Å, c = 4.721 Å
α = 60.00°, β = 60.00°, γ = 60.00°
Atoms (fractional coordinates):
Ru: 0.750 0.750 0.750
Tm: 0.000 0.000 0.000
Co: 0.250 0.250 0.250
Ho: 0.500 0.500 0.500

ΔE_f ... -0.31 eV/atom
VASP energy ... -26.66 eV/cell
Offset from the most stable computed form ... 0.00 eV/f.u.
N(E_F) ... 3.62 states/eV per cell